a.
DFT (GGA-PBE) results for NbTcSn2 after structural relaxation.

Symmetry: R-3m
Total moment, μB/f.u.: 1.41

Cell lengths 3.0651, 3.0651, 10.3974 Å; angles 81.52, 81.52, 60.00 degrees
With the nearest neighbours (Å) after each atom.
Element x y z (fractional)
1 Sn 0.9120 0.9120 0.2641  1 Tc 2.71, 3 Nb 3.00
2 Sn 0.0880 0.0880 0.7359  1 Tc 2.71, 3 Nb 3.00
3 Nb 0.5000 0.5000 0.5000  6 Sn 3.00, 6 Nb 3.07
4 Tc 0.0000 0.0000 0.0000  2 Sn 2.71

=====

b.
DFT (GGA-PBE) results for NbTcSn2 after structural relaxation.

Symmetry: I-42d
Total moment, μB/f.u.: 0.26

Cell lengths 4.0765, 4.0765, 10.3984 Å; angles 78.70, 78.70, 90.00 degrees
With the nearest neighbours (Å) after each atom.
Element x y z (fractional)
1 Sn 0.6291 0.1250 0.2500  4 Sn 2.86-2.91, 2 Tc 2.88, 2 Nb 2.89
2 Sn 0.3750 0.3709 0.7500  4 Sn 2.86-2.91, 2 Tc 2.88, 2 Nb 2.89
3 Sn 0.8750 0.8791 0.7500  4 Sn 2.86-2.91, 2 Tc 2.88, 2 Nb 2.89
4 Sn 0.1209 0.6250 0.2500  4 Sn 2.86-2.91, 2 Tc 2.88, 2 Nb 2.89
5 Nb 0.2500 0.7500 0.5000  4 Tc 2.88, 4 Sn 2.89
6 Nb 0.5000 0.5000 0.0000  4 Tc 2.88, 4 Sn 2.89
7 Tc 0.7500 0.2500 0.5000  4 Sn 2.88, 4 Nb 2.88
8 Tc 0.0000 0.0000 0.0000  4 Sn 2.88, 4 Nb 2.88

=====

Quick look at relative energies in eV/atom: a 0.056; b 0.000.